# 1
Tb3Pu2ScTe6: optimized geometry, PBE.

Cell: 4.340 8.752 9.754 Å, 103.40 102.85 90.00°
Site moments in Bohr magnetons follow the coordinates.
Element x y z (fractional)
Tb (0.500, 0.500, 0.000)  0.06
Tb (0.829, 0.164, 0.658)  0.01
Tb (0.171, 0.836, 0.342)  0.01
Pu (0.835, 0.669, 0.670)  5.56
Pu (0.165, 0.331, 0.330)  5.56
Sc (0.500, 0.000, 0.000)  0.14
Te (0.339, 0.923, 0.678)  -0.03
Te (0.666, 0.585, 0.333)  -0.04
Te (0.661, 0.077, 0.322)  -0.03
Te (0.997, 0.239, 0.993)  -0.01
Te (0.003, 0.761, 0.007)  -0.01
Te (0.334, 0.415, 0.667)  -0.04

**Raw total energy**: -6.86 eV/atom
**Space group**: No. 12

=====

# 2
Zn3GaRu: optimized geometry, PBE.

Cell: 4.570 4.570 4.570 Å, 90.00 90.00 90.00°
Site moments in Bohr magnetons follow the coordinates.
Element x y z (fractional)
Ru (0.500, 0.500, 0.500)  1.90
Zn (0.000, 0.500, 0.000)  -0.01
Zn (0.000, 0.000, 0.500)  0.00
Zn (0.500, 0.000, 0.000)  -0.01
Ga (0.000, 0.000, 0.000)  0.06

**E above lowest polymorph**: 99.8 kJ per mole of atoms
**Space group**: No. 221

=====

# 3
La5CeNd6: optimized geometry, PBE.

Cell: 5.213 9.780 9.780 Å, 106.74 105.47 105.47°
Site moments in Bohr magnetons follow the coordinates.
Element x y z (fractional)
Nd (0.246, 0.082, 0.411)  0.00
Nd (0.754, 0.589, 0.918)  0.00
Nd (0.743, 0.243, 0.243)  0.01
Nd (0.257, 0.757, 0.757)  0.01
Nd (0.246, 0.411, 0.082)  0.00
Nd (0.754, 0.918, 0.589)  0.00
Ce (0.000, 0.000, 0.000)  0.73
La (0.500, 0.163, 0.837)  0.01
La (0.000, 0.334, 0.666)  -0.01
La (0.500, 0.500, 0.500)  0.01
La (0.000, 0.666, 0.334)  -0.01
La (0.500, 0.837, 0.163)  0.01

**Raw total energy**: -4.90 eV/atom
**Space group**: No. 71

=====

Number 1: total magnetization 12.11 μB per formula unit. Number 2: total magnetization 1.99 μB per formula unit. Number 3: total magnetization 0.99 μB per formula unit.